KCrN2O: relaxed, PBE+U.

Results
- E_tot: -3.1027 eV per atom
- Total magnetic moment: 1.80 μB per formula unit
- Space group: P4/mmm

Cell lengths 4.769, 4.769, 4.705 Å; angles 90.00, 90.00, 90.00 degrees
Atoms (fractional coordinates):
K: 0.000 0.000 0.000
Cr: 0.500 0.500 0.500
N: 0.000 0.500 0.000
N: 0.500 0.000 0.000
O: 0.000 0.000 0.500

KCrN2O: relaxed, PBE+U.

Results
- E_tot: -5.7245 eV per atom
- Total magnetic moment: 0.30 μB per formula unit
- Space group: P4/mmm

Cell lengths 3.774, 3.774, 3.994 Å; angles 90.00, 90.00, 90.00 degrees
Atoms (fractional coordinates):
K: 0.000 0.000 0.000
Cr: 0.500 0.500 0.500
N: 0.000 0.500 0.500
N: 0.500 0.000 0.500
O: 0.500 0.500 0.000

KCr2NO: relaxed, PBE+U.

Results
- E_tot: -5.8097 eV per atom
- Total magnetic moment: 7.92 μB per formula unit
- Space group: P4/mmm

Cell lengths 4.009, 4.009, 5.378 Å; angles 90.00, 90.00, 90.00 degrees
Atoms (fractional coordinates):
K: 0.000 0.000 0.000
Cr: 0.000 0.500 0.500
Cr: 0.500 0.000 0.500
N: 0.000 0.000 0.500
O: 0.500 0.500 0.000

> total magnetic moment of number 3 (KCr2NO)?

7.92 μB per formula unit

> Among the records above, which one has the lowest total magnetic moment?

number 2

> The highest total magnetic moment belongs to which entry?

KCr2NO

> Among the records above, which one has the lowest total magnetic moment?

number 2